Record 1
Entry from the Alexandria database: NbOs3 at its PBEsol-relaxed geometry (meta-GGA SCAN).

Geometry as CIF:
```
data_NbOs3
_symmetry_space_group_name_H-M 'P m -3 m'
_symmetry_Int_Tables_number 221
_symmetry_space_group_name_Hall '-P 4 2 3'
_cell_length_a 3.895
_cell_length_b 3.895
_cell_length_c 3.895
_cell_angle_alpha 90.00
_cell_angle_beta 90.00
_cell_angle_gamma 90.00
loop_
_atom_site_label
_atom_site_fract_x
_atom_site_fract_y
_atom_site_fract_z
Nb1 0.000 0.000 0.000
Os1 0.000 0.500 0.500
```

Summary:
**Energy relative to the elements**: -0.1060 eV/atom
**Crystal system**: cubic
**Magnetization**: 0.00 μB per formula unit
**Total energy**: -249.19 eV per formula unit

***

Record 2
Entry from the Alexandria database: Li2YSb at its PBEsol-relaxed geometry (meta-GGA SCAN).

Geometry as CIF:
```
data_Li2YSb
_symmetry_space_group_name_H-M 'P 4/m m m'
_symmetry_Int_Tables_number 123
_symmetry_space_group_name_Hall '-P 4 2'
_cell_length_a 4.315
_cell_length_b 4.315
_cell_length_c 4.753
_cell_angle_alpha 90.00
_cell_angle_beta 90.00
_cell_angle_gamma 90.00
loop_
_atom_site_label
_atom_site_fract_x
_atom_site_fract_y
_atom_site_fract_z
Li1 0.000 0.500 0.000
Y1 0.000 0.000 0.500
Sb1 0.500 0.500 0.500
```

Summary:
**Crystal system**: tetragonal
**Magnetization**: 0.00 μB per formula unit
**Total energy**: -72.35 eV per formula unit

***

Record 3
Entry from the Alexandria database: ZrAlSi2 at its PBEsol-relaxed geometry (meta-GGA SCAN).

Geometry as CIF:
```
data_ZrAlSi2
_symmetry_space_group_name_H-M 'C m m 2'
_symmetry_Int_Tables_number 35
_cell_length_a 3.931
_cell_length_b 4.113
_cell_length_c 8.066
_cell_angle_alpha 90.00
_cell_angle_beta 90.00
_cell_angle_gamma 90.00
loop_
_symmetry_equiv_pos_as_xyz
'x,y,z'
'-x,-y,z'
'-x,y,z'
'x,-y,z'
'x+1/2,y+1/2,z'
'-x+1/2,-y+1/2,z'
'-x+1/2,y+1/2,z'
'x+1/2,-y+1/2,z'
loop_
_atom_site_label
_atom_site_fract_x
_atom_site_fract_y
_atom_site_fract_z
Zr1 0.000 0.000 0.000
Al1 0.000 0.500 0.279
Si1 0.000 0.000 0.518
Si2 0.000 0.500 0.749
```

Summary:
**Crystal system**: orthorhombic
**Magnetization**: 0.01 μB per formula unit
**Total energy**: -58.16 eV per formula unit

***

Record 4
Entry from the Alexandria database: La4YSb at its PBEsol-relaxed geometry (meta-GGA SCAN).

Geometry as CIF:
```
data_La4YSb
_symmetry_space_group_name_H-M 'F -4 3 m'
_symmetry_Int_Tables_number 216
_symmetry_space_group_name_Hall 'F -4 2 3'
_cell_length_a 9.095
_cell_length_b 9.095
_cell_length_c 9.095
_cell_angle_alpha 90.00
_cell_angle_beta 90.00
_cell_angle_gamma 90.00
loop_
_atom_site_label
_atom_site_fract_x
_atom_site_fract_y
_atom_site_fract_z
La1 0.124 0.124 0.376
Y1 0.250 0.250 0.750
Sb1 0.000 0.000 0.000
```

Summary:
**Crystal system**: cubic
**Magnetization**: 2.71 μB per formula unit
**Total energy**: -237.34 eV per formula unit

***

Record 5
Entry from the Alexandria database: In2TePb at its PBEsol-relaxed geometry (meta-GGA SCAN).

Geometry as CIF:
```
data_In2TePb
_symmetry_space_group_name_H-M 'C 1 2/m 1'
_symmetry_Int_Tables_number 12
_cell_length_a 11.844
_cell_length_b 3.913
_cell_length_c 5.316
_cell_angle_alpha 90.00
_cell_angle_beta 115.42
_cell_angle_gamma 90.00
loop_
_symmetry_equiv_pos_as_xyz
'x,y,z'
'-x,-y,-z'
'-x,y,-z'
'x,-y,z'
'x+1/2,y+1/2,z'
'-x+1/2,-y+1/2,-z'
'-x+1/2,y+1/2,-z'
'x+1/2,-y+1/2,z'
loop_
_atom_site_label
_atom_site_fract_x
_atom_site_fract_y
_atom_site_fract_z
In1 0.237 0.000 0.237
Te1 0.000 0.500 0.000
Pb1 0.000 0.000 0.500
```

Summary:
**Crystal system**: monoclinic
**Magnetization**: 0.00 μB per formula unit
**Total energy**: -179.88 eV per formula unit
**Energy above the lowest structure with this stoichiometry**: 0.0 meV per atom

***

Record 6
Entry from the Alexandria database: MgMn2ZnC at its PBEsol-relaxed geometry (meta-GGA SCAN).

Geometry as CIF:
```
data_MgMn2ZnC
_symmetry_space_group_name_H-M 'P 4/m m m'
_symmetry_Int_Tables_number 123
_symmetry_space_group_name_Hall '-P 4 2'
_cell_length_a 4.493
_cell_length_b 4.493
_cell_length_c 4.669
_cell_angle_alpha 90.00
_cell_angle_beta 90.00
_cell_angle_gamma 90.00
loop_
_atom_site_label
_atom_site_fract_x
_atom_site_fract_y
_atom_site_fract_z
Mg1 0.000 0.000 0.000
Mn1 0.000 0.500 0.500
Zn1 0.000 0.000 0.500
C1 0.500 0.500 0.000
```

Summary:
**Energy relative to the elements**: 1.5269 eV/atom
**Crystal system**: tetragonal
**Magnetization**: 7.07 μB per formula unit
**Total energy**: -57.46 eV per formula unit

***

Record 7
Entry from the Alexandria database: SiTeW at its PBEsol-relaxed geometry (meta-GGA SCAN).

Geometry as CIF:
```
data_SiTeW
_symmetry_space_group_name_H-M 'F -4 3 m'
_symmetry_Int_Tables_number 216
_symmetry_space_group_name_Hall 'F -4 2 3'
_cell_length_a 6.280
_cell_length_b 6.280
_cell_length_c 6.280
_cell_angle_alpha 90.00
_cell_angle_beta 90.00
_cell_angle_gamma 90.00
loop_
_atom_site_label
_atom_site_fract_x
_atom_site_fract_y
_atom_site_fract_z
Si1 0.000 0.000 0.000
Te1 0.250 0.250 0.750
W1 0.000 0.000 0.500
```

Summary:
**Crystal system**: cubic
**Magnetization**: 0.00 μB per formula unit
**Total energy**: -112.42 eV per formula unit
**Energy above the lowest structure with this stoichiometry**: 1082.8 meV per atom

***

Record 8
Entry from the Alexandria database: ScMnRe2 at its PBEsol-relaxed geometry (meta-GGA SCAN).

Geometry as CIF:
```
data_ScMnRe2
_symmetry_space_group_name_H-M 'P 1 2/m 1'
_symmetry_Int_Tables_number 10
_cell_length_a 2.710
_cell_length_b 4.366
_cell_length_c 4.994
_cell_angle_alpha 90.00
_cell_angle_beta 99.98
_cell_angle_gamma 90.00
loop_
_symmetry_equiv_pos_as_xyz
'x,y,z'
'-x,-y,-z'
'-x,y,-z'
'x,-y,z'
loop_
_atom_site_label
_atom_site_fract_x
_atom_site_fract_y
_atom_site_fract_z
Sc1 0.000 0.000 0.000
Mn1 0.500 0.000 0.500
Re1 0.270 0.500 0.745
```

Summary:
**Energy relative to the elements**: 0.0102 eV/atom
**Crystal system**: monoclinic
**Magnetization**: 1.71 μB per formula unit
**Total energy**: -174.65 eV per formula unit

***

Record 9
Entry from the Alexandria database: PrMg2Ni9 at its PBEsol-relaxed geometry (meta-GGA SCAN).

Geometry as CIF:
```
data_PrMg2Ni9
_symmetry_space_group_name_H-M 'R -3 m'
_symmetry_Int_Tables_number 166
_symmetry_space_group_name_Hall '-R 3 2"'
_cell_length_a 4.8151
_cell_length_b 4.8151
_cell_length_c 23.2990
_cell_angle_alpha 90.00
_cell_angle_beta 90.00
_cell_angle_gamma 120.00
loop_
_atom_site_label
_atom_site_fract_x
_atom_site_fract_y
_atom_site_fract_z
Pr1 0.0000 0.0000 0.0000
Mg1 0.0000 0.0000 0.1445
Ni1 0.0000 0.0000 0.3335
Ni2 0.0000 0.0000 0.5000
Ni3 0.0024 0.5012 0.9148
```

Summary:
**Energy relative to the elements**: -0.2165 eV/atom
**Crystal system**: trigonal
**Magnetization**: 3.34 μB per formula unit
**Total energy**: -201.43 eV per formula unit

***

Record 10
Entry from the Alexandria database: Au at its PBEsol-relaxed geometry (meta-GGA SCAN).

Geometry as CIF:
```
data_Au
_symmetry_space_group_name_H-M 'F m -3 m'
_symmetry_Int_Tables_number 225
_symmetry_space_group_name_Hall '-F 4 2 3'
_cell_length_a 4.075
_cell_length_b 4.075
_cell_length_c 4.075
_cell_angle_alpha 90.00
_cell_angle_beta 90.00
_cell_angle_gamma 90.00
loop_
_atom_site_label
_atom_site_fract_x
_atom_site_fract_y
_atom_site_fract_z
Au1 0.000 0.000 0.000
```

Summary:
**Energy relative to the elements**: 0.0000 eV/atom
**Crystal system**: cubic
**Magnetization**: 0.00 μB per formula unit
**Total energy**: -69.16 eV per formula unit
**Energy above the lowest structure with this stoichiometry**: 0.0 meV per atom

***

> Which value of total energy does entry 3 give?

-58.16 eV per formula unit